! NbCu2Tc (PBE, relaxed); values from VASP
! - Space group: No. 225
! - ΔE to the lowest computed polymorph: 0.000 eV/atom
! - E_form: 108 kJ/mol of formula units
! - Size of the total moment: 0.0 Bohr magnetons per cell
&SYSTEM
  ibrav = 0, nat = 4, ntyp = 3
/
ATOMIC_SPECIES
Nb 92.91 Nb.upf
Cu 63.55 Cu.upf
Tc 98.00 Tc.upf
CELL_PARAMETERS angstrom
-3.166 -1.909 2.235
-4.018 -0.078 -1.584
-1.697 -3.716 -1.403
ATOMIC_POSITIONS angstrom
Nb 0.000 0.000 0.000
Cu -6.660 -4.277 -0.564
Cu -2.220 -1.426 -0.188
Tc -4.440 -2.851 -0.376

=====

! NbCu4Tc (PBE, relaxed); values from VASP
! - Space group: No. 216
! - E_form: 40 kJ/mol of formula units
! - Size of the total moment: 0.0 Bohr magnetons per cell
&SYSTEM
  ibrav = 0, nat = 6, ntyp = 3
/
ATOMIC_SPECIES
Cu 63.55 Cu.upf
Nb 92.91 Nb.upf
Tc 98.00 Tc.upf
CELL_PARAMETERS angstrom
-3.277 -3.530 -0.045
-1.519 -1.929 4.144
-4.479 0.852 1.554
ATOMIC_POSITIONS angstrom
Cu -5.037 -1.915 1.462
Cu -4.159 -1.116 3.555
Cu -3.558 -3.305 2.756
Cu -5.796 -2.879 3.532
Nb 0.000 0.000 0.000
Tc -2.319 -1.152 1.413

=====

Q: Which formula does entry 2 have?
A: NbCu4Tc